## i
{
  "formula": "Ni2HRh",
  "functional": "PBE-GGA",
  "state": "relaxed",
  "cell": [[2.6487, 0.0000, 0.0000], [0.0000, 6.9824, 0.0000], [-1.2530, 0.0000, 4.2466]],
  "species": ["Ni", "Ni", "Ni", "Ni", "H", "H", "Rh", "Rh"],
  "frac_coords": [[0.1313, 0.0702, 0.2680], [0.1313, 0.4298, 0.2680], [0.8687, 0.5702, 0.7320], [0.8687, 0.9298, 0.7320], [0.1262, 0.7500, 0.5310], [0.8738, 0.2500, 0.4690], [0.4153, 0.2500, 0.8200], [0.5847, 0.7500, 0.1800]],
  "space_group": "No. 11",
  "dos_ef_per_ev_atom": 0.95
}

***

## ii
{
  "formula": "Ni2HRh",
  "functional": "PBE-GGA",
  "state": "relaxed",
  "cell": [[-2.7660, 2.7660, 2.6238], [2.7660, -2.7660, 2.6238], [2.7660, 2.7660, -2.6238]],
  "species": ["Ni", "Ni", "Ni", "Ni", "H", "H", "Rh", "Rh"],
  "frac_coords": [[0.0072, 0.1250, 0.3822], [0.3750, 0.9928, 0.1178], [0.7428, 0.6250, 0.6178], [0.8750, 0.2572, 0.8822], [0.0000, 0.0000, 0.0000], [0.7500, 0.2500, 0.5000], [0.2500, 0.7500, 0.5000], [0.5000, 0.5000, 0.0000]],
  "space_group": "No. 122",
  "dos_ef_per_ev_atom": 0.30
}

***

Short version: i, ii, most stable first.

***

## i
{
  "formula": "NiHRh2",
  "functional": "PBE-GGA",
  "state": "relaxed",
  "cell": [[1.3710, 0.7916, 6.5641], [-1.3710, 0.7916, 6.5641], [0.0000, -1.5831, 6.5641]],
  "species": ["Ni", "H", "Rh", "Rh"],
  "frac_coords": [[0.0000, 0.0000, 0.0000], [0.1662, 0.1662, 0.1662], [0.5609, 0.5609, 0.5609], [0.7714, 0.7714, 0.7714]],
  "space_group": "No. 160",
  "dos_ef_per_ev_atom": 1.41
}

***

## ii
{
  "formula": "NiHRh2",
  "functional": "PBE-GGA",
  "state": "relaxed",
  "cell": [[-2.9400, 2.9400, 2.5269], [2.9400, -2.9400, 2.5269], [2.9400, 2.9400, -2.5269]],
  "species": ["Ni", "Ni", "H", "H", "Rh", "Rh", "Rh", "Rh"],
  "frac_coords": [[0.0000, 0.0000, 0.0000], [0.7500, 0.2500, 0.5000], [0.2500, 0.7500, 0.5000], [0.5000, 0.5000, 0.0000], [0.2147, 0.6250, 0.0897], [0.3750, 0.4647, 0.5897], [0.5353, 0.1250, 0.9103], [0.8750, 0.7853, 0.4103]],
  "space_group": "No. 122",
  "dos_ef_per_ev_atom": 1.05
}

***

Short version: i, ii, most stable first.

***

## i
{
  "formula": "NiH2Rh2",
  "functional": "PBE-GGA",
  "state": "relaxed",
  "cell": [[5.1667, 0.0000, 0.0000], [0.0000, 5.1667, 0.0000], [0.0000, 0.0000, 3.6301]],
  "species": ["Ni", "Ni", "H", "H", "H", "H", "Rh", "Rh", "Rh", "Rh"],
  "frac_coords": [[0.0000, 0.0000, 0.0000], [0.5000, 0.5000, 0.0000], [0.1906, 0.3094, 0.0000], [0.3094, 0.8094, 0.0000], [0.6906, 0.1906, 0.0000], [0.8094, 0.6906, 0.0000], [0.1871, 0.3129, 0.5000], [0.3129, 0.8129, 0.5000], [0.6871, 0.1871, 0.5000], [0.8129, 0.6871, 0.5000]],
  "space_group": "No. 127",
  "dos_ef_per_ev_atom": 0.77
}

***

## ii
{
  "formula": "NiH2Rh2",
  "functional": "PBE-GGA",
  "state": "relaxed",
  "cell": [[-1.4631, 1.4631, 5.4148], [1.4631, -1.4631, 5.4148], [1.4631, 1.4631, -5.4148]],
  "species": ["Ni", "H", "H", "Rh", "Rh"],
  "frac_coords": [[0.0000, 0.0000, 0.0000], [0.2500, 0.7500, 0.5000], [0.7500, 0.2500, 0.5000], [0.3561, 0.3561, 0.0000], [0.6439, 0.6439, 0.0000]],
  "space_group": "No. 139",
  "dos_ef_per_ev_atom": 0.75
}

***

Short version: ii, i, most stable first.